No. 1
Entry from Alexandria: a geometry-optimized NaMgCdHg4 structure (GGA-PBE).

The value obtained for the density of states at the Fermi level is 9.1 states/eV/cell. As for the energy relative to the elements: -0.079 eV per atom. As for the spin magnetization: 0.0000 μB per atom. The raw total energy comes out at -0.80 eV per atom. As for the density: 8.45 g/cm³.

The space group is Cmcm (No. 63) and the conventional cell measures 6.1440, 19.1635 and 6.4197 Å, with angles of 90.00, 90.00 and 90.00 degrees. The asymmetric unit holds Na at (0.0000, 0.0745, 0.2500), Mg at (0.0000, 0.3528, 0.2500), Cd at (0.0000, 0.3561, 0.7500), Hg at (0.0000, 0.1091, 0.7500), Hg at (0.0000, 0.4957, 0.2500) and Hg at (0.2500, 0.2500, 0.0000).



No. 2
Entry from Alexandria: a geometry-optimized Na2MgCdHg6 structure (GGA-PBE).

The value obtained for the density of states at the Fermi level is 21.4 states/eV/cell. As for the energy relative to the elements: 0.017 eV per atom. As for the spin magnetization: 0.0000 μB per atom. The raw total energy comes out at -0.68 eV per atom. As for the density: 6.76 g/cm³.

The space group is Fm-3m (No. 225) and the conventional cell measures 11.0862, 11.0862 and 11.0862 Å, with angles of 90.00, 90.00 and 90.00 degrees. The asymmetric unit holds Na at (0.2500, 0.2500, 0.2500), Mg at (0.0000, 0.0000, 0.0000), Cd at (0.0000, 0.0000, 0.5000) and Hg at (0.0000, 0.0000, 0.2457).



No. 3
Entry from Alexandria: a geometry-optimized NaMg2CdHg4 structure (GGA-PBE).

The value obtained for the density of states at the Fermi level is 7.2 states/eV/cell. As for the energy relative to the elements: -0.150 eV per atom. As for the spin magnetization: 0.0000 μB per atom. The raw total energy comes out at -0.98 eV per atom. As for the density: 8.95 g/cm³.

The space group is R-3m (No. 166, hexagonal axes) and the conventional cell measures 4.9616, 4.9616 and 25.7659 Å, with angles of 90.00, 90.00 and 120.00 degrees. The asymmetric unit holds Na at (0.0000, 0.0000, 0.0000), Mg at (0.0000, 0.0000, 0.2475), Cd at (0.0000, 0.0000, 0.5000), Hg at (0.0000, 0.0000, 0.1214) and Hg at (0.0000, 0.0000, 0.3763).



No. 4
Entry from Alexandria: a geometry-optimized Na2MgCd2Hg5 structure (GGA-PBE).

The value obtained for the density of states at the Fermi level is 6.0 states/eV/cell. As for the energy relative to the elements: -0.129 eV per atom. As for the spin magnetization: 0.0000 μB per atom. The raw total energy comes out at -0.89 eV per atom. As for the density: 8.36 g/cm³.

The space group is P4/mbm (No. 127) and the conventional cell measures 11.3027, 11.3027 and 4.0375 Å, with angles of 90.00, 90.00 and 90.00 degrees. The asymmetric unit holds Na at (0.1680, 0.3320, 0.0000), Mg at (0.0000, 0.0000, 0.0000), Cd at (0.1352, 0.6352, 0.0000), Hg at (0.0000, 0.5000, 0.5000) and Hg at (0.0568, 0.8120, 0.5000).



No. 5
Entry from Alexandria: a geometry-optimized Na3Mg2Cd2Hg4 structure (GGA-PBE).

The value obtained for the density of states at the Fermi level is 3.0 states/eV/cell. As for the energy relative to the elements: -0.163 eV per atom. As for the spin magnetization: 0.0000 μB per atom. The raw total energy comes out at -1.09 eV per atom. As for the density: 6.91 g/cm³.

The space group is P-3m1 (No. 164) and the conventional cell measures 5.1316, 5.1316 and 12.0693 Å, with angles of 90.00, 90.00 and 120.00 degrees. The asymmetric unit holds Na at (0.0000, 0.0000, 0.0000), Na at (0.0000, 0.0000, 0.2737), Mg at (0.3333, 0.6667, 0.5950), Cd at (0.3333, 0.6667, 0.1134), Hg at (0.3333, 0.6667, 0.3638) and Hg at (0.3333, 0.6667, 0.8551).



No. 6
Entry from Alexandria: a geometry-optimized NaMgCd3Hg structure (GGA-PBE).

The value obtained for the density of states at the Fermi level is 8.7 states/eV/cell. As for the energy relative to the elements: -0.097 eV per atom. As for the spin magnetization: 0.0000 μB per atom. The raw total energy comes out at -1.09 eV per atom. As for the density: 7.11 g/cm³.

The space group is Cmcm (No. 63) and the conventional cell measures 3.3529, 16.1757 and 10.0830 Å, with angles of 90.00, 90.00 and 90.00 degrees. The asymmetric unit holds Na at (0.0000, 0.2102, 0.2500), Mg at (0.0000, 0.0000, 0.0000), Cd at (0.0000, 0.1123, 0.7500), Cd at (0.0000, 0.3356, 0.0094) and Hg at (0.0000, 0.4506, 0.7500).